No. 1
Material: Y2Cd2Ru
Method: DFT, GGA-PBE
State: optimized geometry

Cell and atoms, written as CIF:
```
data_Y2Cd2Ru
_symmetry_space_group_name_H-M 'I 4/m m m'
_symmetry_Int_Tables_number 139
_symmetry_space_group_name_Hall '-I 4 2'
_cell_length_a 3.434
_cell_length_b 3.434
_cell_length_c 19.618
_cell_angle_alpha 90.00
_cell_angle_beta 90.00
_cell_angle_gamma 90.00
loop_
_atom_site_label
_atom_site_fract_x
_atom_site_fract_y
_atom_site_fract_z
Y1 0.000 0.000 0.085
Cd1 0.000 0.000 0.297
Ru1 0.000 0.000 0.500
```

Summary:
The total energy comes out at -5.15 eV/atom. Its formation energy from the elements is -0.3428 eV per atom. Its size of the total moment is 0.00 μB per cell.



No. 2
Material: Y5Cd4Ru
Method: DFT, GGA-PBE
State: optimized geometry

Cell and atoms, written as CIF:
```
data_Y5Cd4Ru
_symmetry_space_group_name_H-M 'P 4/m m m'
_symmetry_Int_Tables_number 123
_symmetry_space_group_name_Hall '-P 4 2'
_cell_length_a 3.588
_cell_length_b 3.588
_cell_length_c 19.399
_cell_angle_alpha 90.00
_cell_angle_beta 90.00
_cell_angle_gamma 90.00
loop_
_atom_site_label
_atom_site_fract_x
_atom_site_fract_y
_atom_site_fract_z
Y1 0.000 0.000 0.000
Y2 0.000 0.000 0.206
Y3 0.000 0.000 0.417
Cd1 0.500 0.500 0.103
Cd2 0.500 0.500 0.308
Ru1 0.500 0.500 0.500
```

Summary:
The total energy comes out at -4.88 eV/atom. Its formation energy from the elements is -0.3563 eV per atom. Its size of the total moment is 0.01 μB per cell.



No. 3
Material: Y6Cd5Ru
Method: DFT, GGA-PBE
State: optimized geometry

Cell and atoms, written as CIF:
```
data_Y6Cd5Ru
_symmetry_space_group_name_H-M 'C m m m'
_symmetry_Int_Tables_number 65
_symmetry_space_group_name_Hall '-C 2 2'
_cell_length_a 5.195
_cell_length_b 15.569
_cell_length_c 7.458
_cell_angle_alpha 90.00
_cell_angle_beta 90.00
_cell_angle_gamma 90.00
loop_
_atom_site_label
_atom_site_fract_x
_atom_site_fract_y
_atom_site_fract_z
Y1 0.000 0.000 0.229
Y2 0.000 0.345 0.238
Cd1 0.000 0.171 0.500
Cd2 0.000 0.177 0.000
Cd3 0.000 0.500 0.500
Ru1 0.000 0.500 0.000
```

Summary:
The total energy comes out at -4.75 eV/atom. Its formation energy from the elements is -0.3664 eV per atom. Its size of the total moment is 0.00 μB per cell.



No. 4
Material: Zn3CdRu
Method: DFT, GGA-PBE
State: optimized geometry

Cell and atoms, written as CIF:
```
data_Zn3CdRu
_symmetry_space_group_name_H-M 'P m -3 m'
_symmetry_Int_Tables_number 221
_symmetry_space_group_name_Hall '-P 4 2 3'
_cell_length_a 4.793
_cell_length_b 4.793
_cell_length_c 4.793
_cell_angle_alpha 90.00
_cell_angle_beta 90.00
_cell_angle_gamma 90.00
loop_
_atom_site_label
_atom_site_fract_x
_atom_site_fract_y
_atom_site_fract_z
Zn1 0.000 0.000 0.500
Cd1 0.500 0.500 0.500
Ru1 0.000 0.000 0.000
```

Summary:
The total energy comes out at -2.33 eV/atom. The energy above the lowest structure with this stoichiometry is 0.000 eV/atom. Its formation energy from the elements is 0.4729 eV per atom. Its size of the total moment is 0.00 μB per cell.



No. 5
Material: Zn4CdRu
Method: DFT, GGA-PBE
State: optimized geometry

Cell and atoms, written as CIF:
```
data_Zn4CdRu
_symmetry_space_group_name_H-M 'F -4 3 m'
_symmetry_Int_Tables_number 216
_symmetry_space_group_name_Hall 'F -4 2 3'
_cell_length_a 7.115
_cell_length_b 7.115
_cell_length_c 7.115
_cell_angle_alpha 90.00
_cell_angle_beta 90.00
_cell_angle_gamma 90.00
loop_
_atom_site_label
_atom_site_fract_x
_atom_site_fract_y
_atom_site_fract_z
Zn1 0.124 0.124 0.124
Cd1 0.000 0.000 0.500
Ru1 0.250 0.250 0.750
```

Summary:
The total energy comes out at -2.46 eV/atom. Its formation energy from the elements is 0.0874 eV per atom. Its size of the total moment is 0.00 μB per cell.



No. 6
Material: Zn2CdRu
Method: DFT, GGA-PBE
State: optimized geometry

Cell and atoms, written as CIF:
```
data_Zn2CdRu
_symmetry_space_group_name_H-M 'C m m m'
_symmetry_Int_Tables_number 65
_symmetry_space_group_name_Hall '-C 2 2'
_cell_length_a 2.966
_cell_length_b 4.807
_cell_length_c 9.199
_cell_angle_alpha 90.00
_cell_angle_beta 90.00
_cell_angle_gamma 90.00
loop_
_atom_site_label
_atom_site_fract_x
_atom_site_fract_y
_atom_site_fract_z
Zn1 0.000 0.000 0.226
Cd1 0.000 0.500 0.500
Ru1 0.000 0.500 0.000
```

Summary:
The total energy comes out at -3.02 eV/atom. Its formation energy from the elements is 0.1658 eV per atom. Its size of the total moment is 1.47 μB per cell.



No. 7
Material: Zn2CdRu
Method: DFT, GGA-PBE
State: optimized geometry

Cell and atoms, written as CIF:
```
data_Zn2CdRu
_symmetry_space_group_name_H-M 'R 3 m'
_symmetry_Int_Tables_number 160
_symmetry_space_group_name_Hall 'R 3 -2"'
_cell_length_a 4.4602
_cell_length_b 4.4602
_cell_length_c 10.9524
_cell_angle_alpha 90.00
_cell_angle_beta 90.00
_cell_angle_gamma 120.00
loop_
_atom_site_label
_atom_site_fract_x
_atom_site_fract_y
_atom_site_fract_z
Zn1 0.0000 0.0000 0.0000
Zn2 0.0000 0.0000 0.2506
Cd1 0.0000 0.0000 0.7500
Ru1 0.0000 0.0000 0.5006
```

Summary:
The total energy comes out at -3.00 eV/atom. Its formation energy from the elements is 0.1892 eV per atom. Its size of the total moment is 0.00 μB per cell.



No. 8
Material: Zn2CdRu
Method: DFT, GGA-PBE
State: optimized geometry

Cell and atoms, written as CIF:
```
data_Zn2CdRu
_symmetry_space_group_name_H-M 'P m m 2'
_symmetry_Int_Tables_number 25
_cell_length_a 2.853
_cell_length_b 3.956
_cell_length_c 5.665
_cell_angle_alpha 90.00
_cell_angle_beta 90.00
_cell_angle_gamma 90.00
loop_
_symmetry_equiv_pos_as_xyz
'x,y,z'
'-x,-y,z'
'-x,y,z'
'x,-y,z'
loop_
_atom_site_label
_atom_site_fract_x
_atom_site_fract_y
_atom_site_fract_z
Zn1 0.000 0.000 0.000
Zn2 0.500 0.500 0.256
Cd1 0.000 0.000 0.521
Ru1 0.500 0.500 0.796
```

Summary:
The total energy comes out at -3.04 eV/atom. Its formation energy from the elements is 0.1428 eV per atom. Its size of the total moment is 0.65 μB per cell.



> formation energy from the elements of number 1 (Y2Cd2Ru)?

-0.3428 eV per atom